Entry 1:
Material: MgPaH8Ir2
Method: DFT, GGA-PBE
State: relaxed

Its total DFT energy (no corrections) is -115.6 eV/cell. The value obtained for the volume is 8.50 Å³/atom.

The structure belongs to space group C2/m (No. 12); the cell edges are 7.920, 4.451 and 6.300 Å and the angles 90.00°, 113.31° and 90.00°. The asymmetric unit holds Mg at (0.000, 0.000, 0.000), Pa at (0.000, 0.500, 0.500), H at (0.062, 0.000, 0.676), H at (0.178, 0.243, 0.322), H at (0.193, 0.500, 0.869) and Ir at (0.206, 0.500, 0.140).


Entry 2:
Material: MgH8Ir2Pb
Method: DFT, GGA-PBE
State: relaxed

Its total DFT energy (no corrections) is -147.7 eV/cell. The value obtained for the volume is 10.24 Å³/atom.

The structure belongs to space group R-3 (No. 148, hexagonal axes); the cell edges are 4.9218, 4.9218 and 17.5729 Å and the angles 90.00°, 90.00° and 120.00°. The asymmetric unit holds Mg at (0.0000, 0.0000, 0.0000), H at (0.0000, 0.0000, 0.2060), H at (0.0299, 0.7404, 0.3813), Ir at (0.0000, 0.0000, 0.3009) and Pb at (0.0000, 0.0000, 0.5000).


Entry 3:
Material: MgH6IrPb
Method: DFT, GGA-PBE
State: relaxed

Its total DFT energy (no corrections) is -35.0 eV/cell. The value obtained for the volume is 11.73 Å³/atom.

The structure belongs to space group P312 (No. 149); the cell edges are 4.7309, 4.7309 and 5.4443 Å and the angles 90.00°, 90.00° and 120.00°. The asymmetric unit holds Mg at (0.0000, 0.0000, 0.0000), H at (0.0580, 0.3929, 0.1992), Ir at (0.3333, 0.6667, 0.0000) and Pb at (0.6667, 0.3333, 0.5000).


Entry 4:
Material: Mg2H6IrPd
Method: DFT, GGA-PBE
State: relaxed

Its total DFT energy (no corrections) is -39.6 eV/cell. The value obtained for the volume is 8.93 Å³/atom.

The structure belongs to space group P1 (No. 1); the cell edges are 4.911, 4.988 and 5.022 Å and the angles 61.50°, 61.01° and 60.99°. The asymmetric unit holds Mg at (0.000, 0.000, 0.000), Mg at (0.488, 0.501, 0.497), H at (0.035, 0.972, 0.435), H at (0.060, 0.468, 0.954), H at (0.430, 0.027, 0.547), H at (0.452, 0.524, 0.067), H at (0.561, 0.011, 0.010), H at (0.927, 0.484, 0.493), Ir at (0.244, 0.247, 0.252) and Pd at (0.744, 0.747, 0.752).


Copy entry 4 word for word.
Material: Mg2H6IrPd
Method: DFT, GGA-PBE
State: relaxed

Its total DFT energy (no corrections) is -39.6 eV/cell. The value obtained for the volume is 8.93 Å³/atom.

The structure belongs to space group P1 (No. 1); the cell edges are 4.911, 4.988 and 5.022 Å and the angles 61.50°, 61.01° and 60.99°. The asymmetric unit holds Mg at (0.000, 0.000, 0.000), Mg at (0.488, 0.501, 0.497), H at (0.035, 0.972, 0.435), H at (0.060, 0.468, 0.954), H at (0.430, 0.027, 0.547), H at (0.452, 0.524, 0.067), H at (0.561, 0.011, 0.010), H at (0.927, 0.484, 0.493), Ir at (0.244, 0.247, 0.252) and Pd at (0.744, 0.747, 0.752).


- What is the total DFT energy (no corrections) in the second record?
  -147.7 eV/cell